First-principles (PBE-GGA) data for Ac8Co3Rh2 after structural relaxation, as listed in Alexandria via LeMat-Bulk.

Results
The value obtained for the formation energy is -0.184 eV per atom. The calculation puts the magnetic moment at 0.0 μB per cell. As for the symmetry: C2/m (12).

Cell lengths 8.900, 8.900, 7.208 Å; angles 110.23, 110.23, 53.25 degrees
Sites, in units of the cell vectors:
Ac 0.101 0.101 0.421
Ac 0.131 0.637 0.087
Ac 0.363 0.869 0.913
Ac 0.364 0.364 0.561
Ac 0.636 0.636 0.439
Ac 0.637 0.131 0.087
Ac 0.869 0.363 0.913
Ac 0.899 0.899 0.579
Co 0.000 0.000 0.000
Co 0.311 0.689 0.500
Co 0.689 0.311 0.500
Rh 0.254 0.254 0.820
Rh 0.746 0.746 0.180



First-principles (PBE-GGA) data for Tb2AlGa6 after structural relaxation, as listed in Alexandria via LeMat-Bulk.

Results
The value obtained for the energy above the lowest structure with this stoichiometry is 0.2159 eV/atom. The value obtained for the formation energy is -0.265 eV per atom. The calculation puts the magnetic moment at 0.0 μB per cell. As for the symmetry: C2/m (12).

Cell lengths 8.563, 8.563, 3.339 Å; angles 90.05, 90.05, 50.55 degrees
Sites, in units of the cell vectors:
Tb 0.200 0.200 0.000
Tb 0.800 0.800 0.000
Al 0.500 0.500 0.500
Ga 0.176 0.536 0.501
Ga 0.187 0.813 0.000
Ga 0.464 0.824 0.499
Ga 0.536 0.176 0.501
Ga 0.813 0.187 0.000
Ga 0.824 0.464 0.499



First-principles (PBE-GGA) data for Zr3Zn4Cd after structural relaxation, as listed in Alexandria via LeMat-Bulk.

Results
The value obtained for the formation energy is -0.216 eV per atom. The calculation puts the magnetic moment at 0.0 μB per cell. As for the symmetry: P4/mmm (123).

Cell lengths 4.520, 4.520, 7.204 Å; angles 90.00, 90.00, 90.00 degrees
Sites, in units of the cell vectors:
Zr 0.000 0.000 0.000
Zr 0.000 0.000 0.500
Zr 0.500 0.500 0.000
Zn 0.000 0.500 0.256
Zn 0.000 0.500 0.744
Zn 0.500 0.000 0.256
Zn 0.500 0.000 0.744
Cd 0.500 0.500 0.500